No. 1
The following is a DFT calculation (PBE-GGA) of a geometry-optimized Tl2RhSe structure.

Cell lengths 3.2059, 3.2059, 8.7321 Å; angles 90.00, 90.00, 89.99 degrees
Atoms (fractional coordinates):
1 Se 0.5000 0.5000 0.7500
2 Tl 0.0000 0.0000 0.4596
3 Tl 0.0000 0.0000 0.0404
4 Rh 0.5000 0.5000 0.2500

Values from the calculation:
DOS at the Fermi energy (states/eV/atom): 0.66
Crystal system: tetragonal
Polymorph energy (0 for the lowest one) (meV per atom): 299.8


No. 2
The following is a DFT calculation (PBE-GGA) of a geometry-optimized TlRhSe structure.

Cell lengths 6.9461, 6.9458, 3.2702 Å; angles 76.39, 76.38, 27.23 degrees
Atoms (fractional coordinates):
1 Tl 0.3550 0.3550 0.6450
2 Rh 0.0360 0.0360 0.9640
3 Se 0.6090 0.6090 0.3910

Values from the calculation:
DOS at the Fermi energy (states/eV/atom): 0.89
Crystal system: tetragonal


No. 3
The following is a DFT calculation (PBE-GGA) of a geometry-optimized Tl2RhSe structure.

Cell lengths 5.0251, 5.0251, 5.0251 Å; angles 60.00, 60.00, 60.00 degrees
Atoms (fractional coordinates):
1 Se 0.0000 0.0000 0.0000
2 Tl 0.7500 0.7500 0.7500
3 Tl 0.2500 0.2500 0.2500
4 Rh 0.5000 0.5000 0.5000

Values from the calculation:
DOS at the Fermi energy (states/eV/atom): 0.89
Crystal system: cubic
Polymorph energy (0 for the lowest one) (meV per atom): 485.6


No. 4
The following is a DFT calculation (PBE-GGA) of a geometry-optimized U2TlRhSe4 structure.

Cell lengths 3.9757, 7.4420, 14.3848 Å; angles 90.00, 90.00, 105.49 degrees
Atoms (fractional coordinates):
1 Se 0.7289 0.4578 0.8921
2 Se 0.0000 0.0000 0.5000
3 Se 0.2711 0.5422 0.3921
4 Se 0.5638 0.1277 0.2500
5 Se 0.7289 0.4578 0.6079
6 Se 0.0000 0.0000 0.0000
7 Se 0.4362 0.8723 0.7500
8 Se 0.2711 0.5422 0.1079
9 U 0.6344 0.2689 0.0677
10 U 0.3656 0.7311 0.5677
11 U 0.3656 0.7311 0.9323
12 U 0.6344 0.2689 0.4323
13 Tl 0.8819 0.7638 0.2500
14 Tl 0.1181 0.2362 0.7500
15 Rh 0.1665 0.3331 0.2500
16 Rh 0.8335 0.6669 0.7500

Values from the calculation:
DOS at the Fermi energy (states/eV/atom): 1.65
Crystal system: orthorhombic


Values of E_tot, in order: -3.70, -4.51, -3.52, -6.62, all in eV per atom.
Values of energy relative to the elements, uncorrected, in order: 0.1908, -0.1140, 0.3766, -0.8431, all in eV per atom.
Values of mass density, in order: 10.9, 9.2, 10.9, 8.9, all in g cm⁻³.